AcHoRu | PBE | relaxed

abc: 3.544 3.544 7.257
angles: 104.13 104.13 90.00
Element x y z (fractional)
1 Ru 0.677 0.677 0.354
2 Ho 0.287 0.287 0.575
3 Ac 0.036 0.036 0.072

Its total energy is -6.14 eV per atom. Its energy above the most stable polymorph in this dataset is 91 meV per atom. The calculated formation energy comes out at -0.1524 eV/atom.

=====

AcHo2Ru | PBE | relaxed

abc: 3.780 3.780 10.915
angles: 80.03 80.03 60.00
Element x y z (fractional)
1 Ho 0.884 0.884 0.348
2 Ho 0.116 0.116 0.652
3 Ru 0.500 0.500 0.500
4 Ac 0.000 0.000 0.000

Its total energy is -5.57 eV per atom. Its energy above the most stable polymorph in this dataset is 266 meV per atom. The calculated formation energy comes out at 0.0640 eV/atom.

=====

> What is the calculated formation energy in the first record?

-0.1524 eV/atom